No. 1
Compound: Sr2TaHg
Source: Alexandria
Functional: PBE-GGA
Structure: relaxed

It has space group Cm (No. 8), with a = 12.6279 Å, b = 3.4444 Å, c = 5.9294 Å, α = 90.00°, β = 109.96° and γ = 90.00°. The distinct sites, in fractional coordinates, are Sr at (0.0000, 0.0000, 0.0000), Sr at (0.1950, 0.0000, 0.6310), Ta at (0.2637, 0.5000, 0.1795) and Hg at (0.4412, 0.0000, 0.4670).

Its total magnetization is 0.383 μB/atom. The energy comes out at -3.40 eV/atom.

---

No. 2
Compound: SrTa3Hg
Source: Alexandria
Functional: PBE-GGA
Structure: relaxed

It has space group Pm-3m (No. 221), with a = 5.1908 Å, b = 5.1908 Å, c = 5.1908 Å, α = 90.00°, β = 90.00° and γ = 90.00°. The distinct sites, in fractional coordinates, are Sr at (0.0000, 0.0000, 0.0000), Ta at (0.0000, 0.5000, 0.5000) and Hg at (0.5000, 0.5000, 0.5000).

Its total magnetization is 0.225 μB/atom. The energy comes out at -5.57 eV/atom.

---

No. 3
Compound: Sr2TaHg
Source: Alexandria
Functional: PBE-GGA
Structure: relaxed

It has space group Amm2 (No. 38), with a = 5.0616 Å, b = 3.7314 Å, c = 13.2220 Å, α = 90.00°, β = 90.00° and γ = 90.00°. The distinct sites, in fractional coordinates, are Sr at (0.0000, 0.0000, 0.0000), Sr at (0.5000, 0.0000, 0.3161), Ta at (0.5000, 0.0000, 0.6041) and Hg at (0.0000, 0.0000, 0.7092).

Its total magnetization is 0.261 μB/atom. The energy comes out at -3.35 eV/atom.

---

No. 4
Compound: Sr2TaHg
Source: Alexandria
Functional: PBE-GGA
Structure: relaxed

It has space group R-3m (No. 166, hexagonal axes), with a = 3.4769 Å, b = 3.4769 Å, c = 33.5045 Å, α = 90.00°, β = 90.00° and γ = 120.00°. The distinct sites, in fractional coordinates, are Sr at (0.0000, 0.0000, 0.2471), Ta at (0.0000, 0.0000, 0.5000) and Hg at (0.0000, 0.0000, 0.0000).

Its total magnetization is 0.000 μB/atom. The energy comes out at -3.28 eV/atom.

---

Summary of energy of formation from the pure elements in meV/atom
479; 1942; 526; 598
(order as listed above)